A relaxed structure of Ba12TlIn4O3, computed with PBE.

- Raw total energy: -3.39 eV per atom
- Space-group type: Im-3m
- Density of states at the Fermi level: 23.07 states/eV/cell
- ΔE_f (raw): -0.831 eV per atom

a b c (Å): 10.0789 10.0789 10.0789
angles (deg): 109.47 109.47 109.47
With the nearest neighbours (Å) after each atom.
Fractional coordinates of all 20 atoms:
Ba 0.0000 0.2797 0.2797  1 O 2.56
Ba 0.0000 0.7203 0.7203  1 O 2.56
Ba 0.2500 0.5000 0.7500  2 O 2.91
Ba 0.2500 0.7500 0.5000  2 O 2.91
Ba 0.2797 0.0000 0.2797  1 O 2.56
Ba 0.2797 0.2797 0.0000  1 O 2.56
Ba 0.5000 0.2500 0.7500  2 O 2.91
Ba 0.5000 0.7500 0.2500  2 O 2.91
Ba 0.7203 0.0000 0.7203  1 O 2.56
Ba 0.7203 0.7203 0.0000  1 O 2.56
Ba 0.7500 0.2500 0.5000  2 O 2.91
Ba 0.7500 0.5000 0.2500  2 O 2.91
Tl 0.0000 0.0000 0.0000  6 Ba 3.26
In 0.0000 0.0000 0.5000  12 Ba 4.11-4.13
In 0.0000 0.5000 0.0000  12 Ba 4.11-4.13
In 0.5000 0.0000 0.0000  12 Ba 4.11-4.13
In 0.5000 0.5000 0.5000  12 Ba 4.11-4.13
O 0.0000 0.5000 0.5000  2 Ba 2.56
O 0.5000 0.0000 0.5000  2 Ba 2.56
O 0.5000 0.5000 0.0000  2 Ba 2.56